# 1
First-principles (PBE) data for crystalline Ru2PtPbBr at its relaxed geometry, as listed in Alexandria via LeMat-Bulk.

It has space group P4/mmm (No. 123), with a = 4.933 Å, b = 4.933 Å, c = 5.604 Å, α = 90.00°, β = 90.00° and γ = 90.00°. The distinct sites, in fractional coordinates, are Ru at (0.000, 0.500, 0.000), Pt at (0.000, 0.000, 0.000), Pb at (0.000, 0.000, 0.500) and Br at (0.500, 0.500, 0.500).

# 2
First-principles (PBE) data for crystalline PtPbSeBr2 at its relaxed geometry, as listed in Alexandria via LeMat-Bulk.

It has space group P4/mmm (No. 123), with a = 5.124 Å, b = 5.124 Å, c = 5.137 Å, α = 90.00°, β = 90.00° and γ = 90.00°. The distinct sites, in fractional coordinates, are Pt at (0.000, 0.000, 0.000), Pb at (0.500, 0.500, 0.500), Se at (0.000, 0.000, 0.500) and Br at (0.000, 0.500, 0.000).

For the energy relative to the lowest polymorph listed for this composition, the calculation gives 0.0 meV/atom.

# 3
First-principles (PBE) data for crystalline Ta2PtPbBr at its relaxed geometry, as listed in Alexandria via LeMat-Bulk.

It has space group P4/mmm (No. 123), with a = 5.298 Å, b = 5.298 Å, c = 4.994 Å, α = 90.00°, β = 90.00° and γ = 90.00°. The distinct sites, in fractional coordinates, are Ta at (0.000, 0.500, 0.000), Pt at (0.000, 0.000, 0.500), Pb at (0.000, 0.000, 0.000) and Br at (0.500, 0.500, 0.500).

# 4
First-principles (PBE) data for crystalline Pu2PbBr at its relaxed geometry, as listed in Alexandria via LeMat-Bulk.

It has space group P4/mmm (No. 123), with a = 3.519 Å, b = 3.519 Å, c = 8.640 Å, α = 90.00°, β = 90.00° and γ = 90.00°. The distinct sites, in fractional coordinates, are Pu at (0.000, 0.000, 0.243), Pb at (0.500, 0.500, 0.500) and Br at (0.500, 0.500, 0.000).

For the energy relative to the lowest polymorph listed for this composition, the calculation gives 0.0 meV/atom.

# 5
First-principles (PBE) data for crystalline PuPbBr6 at its relaxed geometry, as listed in Alexandria via LeMat-Bulk.

It has space group C2/m (No. 12), with a = 7.262 Å, b = 12.742 Å, c = 7.226 Å, α = 90.00°, β = 106.43° and γ = 90.00°. The distinct sites, in fractional coordinates, are Pu at (0.000, 0.000, 0.000), Pb at (0.000, 0.500, 0.500), Br at (0.226, 0.152, 0.234) and Br at (0.244, 0.000, 0.769).

For the energy relative to the lowest polymorph listed for this composition, the calculation gives 0.0 meV/atom.

# 6
First-principles (PBE) data for crystalline Pu2PbBr at its relaxed geometry, as listed in Alexandria via LeMat-Bulk.

It has space group R-3m (No. 166, hexagonal axes), with a = 4.6269 Å, b = 4.6269 Å, c = 18.9816 Å, α = 90.00°, β = 90.00° and γ = 120.00°. The distinct sites, in fractional coordinates, are Pu at (0.0000, 0.0000, 0.2416), Pb at (0.0000, 0.0000, 0.0000) and Br at (0.0000, 0.0000, 0.5000).

For the energy relative to the lowest polymorph listed for this composition, the calculation gives 101.8 meV/atom.

# 7
First-principles (PBE) data for crystalline PuPbBr6 at its relaxed geometry, as listed in Alexandria via LeMat-Bulk.

It has space group R-3 (No. 148, hexagonal axes), with a = 7.1807 Å, b = 7.1807 Å, c = 19.8217 Å, α = 90.00°, β = 90.00° and γ = 120.00°. The distinct sites, in fractional coordinates, are Pu at (0.0000, 0.0000, 0.0000), Pb at (0.0000, 0.0000, 0.5000) and Br at (0.0098, 0.6526, 0.5865).

For the energy relative to the lowest polymorph listed for this composition, the calculation gives 5.7 meV/atom.

# 8
First-principles (PBE) data for crystalline PuPbBr2 at its relaxed geometry, as listed in Alexandria via LeMat-Bulk.

It has space group R-3m (No. 166, hexagonal axes), with a = 3.7417 Å, b = 3.7417 Å, c = 31.6311 Å, α = 90.00°, β = 90.00° and γ = 120.00°. The distinct sites, in fractional coordinates, are Pu at (0.0000, 0.0000, 0.0000), Pb at (0.0000, 0.0000, 0.5000) and Br at (0.0000, 0.0000, 0.3982).

# 9
First-principles (PBE) data for crystalline PuPbBr4 at its relaxed geometry, as listed in Alexandria via LeMat-Bulk.

It has space group C2/m (No. 12), with a = 15.470 Å, b = 4.426 Å, c = 7.690 Å, α = 90.00°, β = 119.06° and γ = 90.00°. The distinct sites, in fractional coordinates, are Pu at (0.000, 0.000, 0.000), Pb at (0.000, 0.500, 0.500), Br at (0.121, 0.500, 0.274) and Br at (0.123, 0.000, 0.796).

# 10
First-principles (PBE) data for crystalline Pu2PbBr at its relaxed geometry, as listed in Alexandria via LeMat-Bulk.

It has space group P4/mmm (No. 123), with a = 5.694 Å, b = 5.694 Å, c = 3.363 Å, α = 90.00°, β = 90.00° and γ = 90.00°. The distinct sites, in fractional coordinates, are Pu at (0.000, 0.500, 0.000), Pb at (0.000, 0.000, 0.500) and Br at (0.500, 0.500, 0.500).

For the energy relative to the lowest polymorph listed for this composition, the calculation gives 36.1 meV/atom.

# 11
First-principles (PBE) data for crystalline RbPuPbBr6 at its relaxed geometry, as listed in Alexandria via LeMat-Bulk.

It has space group P4_2nm (No. 102), with a = 7.311 Å, b = 7.311 Å, c = 14.017 Å, α = 90.00°, β = 90.00° and γ = 90.00°. The distinct sites, in fractional coordinates, are Rb at (0.000, 0.000, 0.000), Pu at (0.000, 0.000, 0.335), Pb at (0.000, 0.000, 0.669), Br at (0.176, 0.176, 0.495), Br at (0.203, 0.203, 0.193) and Br at (0.221, 0.221, 0.818).

# 12
First-principles (PBE) data for crystalline Rb2PuPbBr8 at its relaxed geometry, as listed in Alexandria via LeMat-Bulk.

It has space group P2/m (No. 10), with a = 7.096 Å, b = 9.210 Å, c = 7.920 Å, α = 90.00°, β = 91.83° and γ = 90.00°. The distinct sites, in fractional coordinates, are Rb at (0.000, 0.249, 0.000), Pu at (0.500, 0.500, 0.500), Pb at (0.500, 0.000, 0.500), Br at (0.270, 0.277, 0.616), Br at (0.274, 0.000, 0.184) and Br at (0.306, 0.500, 0.195).

What E_form (uncorrected) values result from the calculations? In sequence: 1.258 -0.134 2.098 -0.472 -1.131 -0.370 -1.126 -0.871 -1.156 -0.436 -1.354 -1.336 eV/atom.